1.
Below is a relaxed Ac2TbTl2 crystal, with properties calculated at the PBE level.

## Properties
E above lowest polymorph = 0.0040 eV/atom
Electronic total energy = -18.99 eV/f.u.
Volume = 179.2 Å³ per cell
Total magnetization = 0.00 Bohr magnetons per cell

a = 6.651 Å, b = 6.651 Å, c = 6.651 Å
α = 136.04°, β = 114.72°, γ = 82.07°
Fractional positions:
Ac 0.196 0.196 0.000
Ac 0.804 0.804 0.000
Tb 0.500 0.000 0.500
Tl 0.227 0.500 0.727
Tl 0.773 0.500 0.273

2.
Below is a relaxed AcTb5Tl3 crystal, with properties calculated at the PBE level.

## Properties
Electronic total energy = -36.37 eV/f.u.
Volume = 542.9 Å³ per cell
Total magnetization = 2.82 Bohr magnetons per cell

a = 9.534 Å, b = 9.534 Å, c = 6.895 Å
α = 90.00°, β = 90.00°, γ = 120.00°
Fractional positions:
Ac 0.000 0.000 0.000
Ac 0.000 0.000 0.500
Tb 0.000 0.334 0.250
Tb 0.000 0.666 0.750
Tb 0.333 0.667 0.000
Tb 0.333 0.667 0.500
Tb 0.334 0.000 0.250
Tb 0.334 0.334 0.750
Tb 0.666 0.000 0.750
Tb 0.666 0.666 0.250
Tb 0.667 0.333 0.000
Tb 0.667 0.333 0.500
Tl 0.000 0.341 0.750
Tl 0.000 0.659 0.250
Tl 0.341 0.000 0.750
Tl 0.341 0.341 0.250
Tl 0.659 0.000 0.250
Tl 0.659 0.659 0.750

3.
Below is a relaxed Ac4TbTl2 crystal, with properties calculated at the PBE level.

## Properties
Electronic total energy = -26.37 eV/f.u.
Volume = 546.3 Å³ per cell
Total magnetization = 0.00 Bohr magnetons per cell

a = 7.249 Å, b = 8.504 Å, c = 10.490 Å
α = 89.48°, β = 70.65°, γ = 64.97°
Fractional positions:
Ac 0.000 0.000 0.000
Ac 0.017 0.514 0.467
Ac 0.443 0.044 0.049
Ac 0.460 0.563 0.513
Ac 0.502 0.514 0.902
Ac 0.577 0.011 0.394
Ac 0.885 0.550 0.120
Ac 0.958 0.046 0.611
Tb 0.506 0.877 0.711
Tb 0.955 0.684 0.803
Tl 0.228 0.780 0.257
Tl 0.231 0.281 0.757
Tl 0.515 0.353 0.201
Tl 0.945 0.208 0.313

4.
Below is a relaxed Ac3Tb2Tl6 crystal, with properties calculated at the PBE level.

## Properties
Electronic total energy = -37.75 eV/f.u.
Volume = 376.2 Å³ per cell
Total magnetization = 0.00 Bohr magnetons per cell

a = 15.056 Å, b = 15.056 Å, c = 15.056 Å
α = 160.61°, β = 160.61°, γ = 27.56°
Fractional positions:
Ac 0.000 0.000 0.000
Ac 0.197 0.197 0.000
Ac 0.803 0.803 0.000
Tb 0.444 0.444 0.000
Tb 0.556 0.556 0.000
Tl 0.114 0.614 0.500
Tl 0.313 0.313 0.000
Tl 0.386 0.886 0.500
Tl 0.614 0.114 0.500
Tl 0.687 0.687 0.000
Tl 0.886 0.386 0.500

5.
Below is a relaxed AcTb5Tl4 crystal, with properties calculated at the PBE level.

## Properties
Electronic total energy = -39.45 eV/f.u.
Volume = 295.5 Å³ per cell
Total magnetization = 0.12 Bohr magnetons per cell

a = 3.646 Å, b = 3.646 Å, c = 22.233 Å
α = 90.00°, β = 90.00°, γ = 90.00°
Fractional positions:
Ac 0.000 0.000 0.000
Tb 0.500 0.500 0.123
Tb 0.500 0.500 0.311
Tb 0.500 0.500 0.500
Tb 0.500 0.500 0.689
Tb 0.500 0.500 0.877
Tl 0.000 0.000 0.216
Tl 0.000 0.000 0.405
Tl 0.000 0.000 0.595
Tl 0.000 0.000 0.784

6.
Below is a relaxed AcTb4Tl crystal, with properties calculated at the PBE level.

## Properties
Electronic total energy = -24.86 eV/f.u.
Volume = 410.1 Å³ per cell
Total magnetization = 0.00 Bohr magnetons per cell

a = 11.040 Å, b = 11.040 Å, c = 6.707 Å
α = 90.00°, β = 90.00°, γ = 149.89°
Fractional positions:
Ac 0.063 0.937 0.500
Ac 0.937 0.063 0.000
Tb 0.141 0.859 0.987
Tb 0.255 0.745 0.618
Tb 0.315 0.685 0.140
Tb 0.459 0.541 0.329
Tb 0.541 0.459 0.829
Tb 0.685 0.315 0.640
Tb 0.745 0.255 0.118
Tb 0.859 0.141 0.487
Tl 0.396 0.604 0.741
Tl 0.604 0.396 0.241

7.
Below is a relaxed Ac3Tb2Tl3 crystal, with properties calculated at the PBE level.

## Properties
Electronic total energy = -30.67 eV/f.u.
Volume = 277.3 Å³ per cell
Total magnetization = 0.00 Bohr magnetons per cell

a = 12.460 Å, b = 12.460 Å, c = 12.460 Å
α = 161.43°, β = 153.22°, γ = 32.78°
Fractional positions:
Ac 0.000 0.000 0.000
Ac 0.374 0.874 0.500
Ac 0.626 0.126 0.500
Tb 0.235 0.235 0.000
Tb 0.765 0.765 0.000
Tl 0.128 0.628 0.500
Tl 0.500 0.500 0.000
Tl 0.872 0.372 0.500

8.
Below is a relaxed AcTb5Tl6 crystal, with properties calculated at the PBE level.

## Properties
Electronic total energy = -45.46 eV/f.u.
Volume = 346.8 Å³ per cell
Total magnetization = 0.00 Bohr magnetons per cell

a = 9.481 Å, b = 9.481 Å, c = 5.479 Å
α = 106.74°, β = 106.74°, γ = 120.29°
Fractional positions:
Ac 0.000 0.000 0.000
Tb 0.162 0.838 0.500
Tb 0.331 0.669 0.000
Tb 0.500 0.500 0.500
Tb 0.669 0.331 0.000
Tb 0.838 0.162 0.500
Tl 0.087 0.432 0.259
Tl 0.271 0.271 0.770
Tl 0.432 0.087 0.259
Tl 0.568 0.913 0.741
Tl 0.729 0.729 0.230
Tl 0.913 0.568 0.741

9.
Below is a relaxed AcTbTl crystal, with properties calculated at the PBE level.

## Properties
E above lowest polymorph = 0.2425 eV/atom
Electronic total energy = -11.14 eV/f.u.
Volume = 114.7 Å³ per cell
Total magnetization = 0.34 Bohr magnetons per cell

a = 5.453 Å, b = 5.453 Å, c = 5.453 Å
α = 60.00°, β = 60.00°, γ = 60.00°
Fractional positions:
Ac 0.000 0.000 0.000
Tb 0.500 0.500 0.500
Tl 0.750 0.750 0.750

10.
Below is a relaxed AcTb3Tl crystal, with properties calculated at the PBE level.

## Properties
Electronic total energy = -19.99 eV/f.u.
Volume = 358.2 Å³ per cell
Total magnetization = 0.00 Bohr magnetons per cell

a = 8.067 Å, b = 8.067 Å, c = 6.357 Å
α = 90.00°, β = 90.00°, γ = 120.00°
Fractional positions:
Ac 0.333 0.667 0.250
Ac 0.667 0.333 0.750
Tb 0.191 0.381 0.750
Tb 0.191 0.809 0.750
Tb 0.381 0.191 0.250
Tb 0.619 0.809 0.750
Tb 0.809 0.191 0.250
Tb 0.809 0.619 0.250
Tl 0.000 0.000 0.000
Tl 0.000 0.000 0.500

11.
Below is a relaxed Ac2TbTl3 crystal, with properties calculated at the PBE level.

## Properties
E above lowest polymorph = 0.0000 eV/atom
Electronic total energy = -22.03 eV/f.u.
Volume = 195.5 Å³ per cell
Total magnetization = 0.00 Bohr magnetons per cell

a = 3.991 Å, b = 3.991 Å, c = 12.270 Å
α = 90.00°, β = 90.00°, γ = 90.00°
Fractional positions:
Ac 0.000 0.000 0.177
Ac 0.000 0.000 0.823
Tb 0.000 0.000 0.500
Tl 0.500 0.500 0.000
Tl 0.500 0.500 0.358
Tl 0.500 0.500 0.642

12.
Below is a relaxed AcTbTl6 crystal, with properties calculated at the PBE level.

## Properties
Electronic total energy = -25.18 eV/f.u.
Volume = 234.5 Å³ per cell
Total magnetization = 0.00 Bohr magnetons per cell

a = 4.902 Å, b = 4.902 Å, c = 9.758 Å
α = 90.00°, β = 90.00°, γ = 90.00°
Fractional positions:
Ac 0.000 0.000 0.000
Tb 0.000 0.000 0.500
Tl 0.000 0.500 0.262
Tl 0.000 0.500 0.738
Tl 0.500 0.000 0.262
Tl 0.500 0.000 0.738
Tl 0.500 0.500 0.000
Tl 0.500 0.500 0.500

13.
Below is a relaxed AcTbTl2 crystal, with properties calculated at the PBE level.

## Properties
Electronic total energy = -14.86 eV/f.u.
Volume = 124.8 Å³ per cell
Total magnetization = 0.00 Bohr magnetons per cell

a = 3.924 Å, b = 3.924 Å, c = 8.107 Å
α = 90.00°, β = 90.00°, γ = 90.00°
Fractional positions:
Ac 0.000 0.000 0.000
Tb 0.000 0.000 0.500
Tl 0.500 0.500 0.277
Tl 0.500 0.500 0.723

14.
Below is a relaxed Ac14TbTl crystal, with properties calculated at the PBE level.

## Properties
Electronic total energy = -64.68 eV/f.u.
Volume = 680.8 Å³ per cell
Total magnetization = 0.00 Bohr magnetons per cell

a = 11.136 Å, b = 7.819 Å, c = 7.819 Å
α = 89.98°, β = 90.00°, γ = 90.00°
Fractional positions:
Ac 0.000 0.000 0.000
Ac 0.000 0.500 0.500
Ac 0.000 0.500 0.999
Ac 0.000 0.999 0.500
Ac 0.257 0.249 0.249
Ac 0.258 0.249 0.750
Ac 0.258 0.750 0.249
Ac 0.258 0.750 0.750
Ac 0.500 0.000 0.499
Ac 0.500 0.499 0.000
Ac 0.742 0.249 0.750
Ac 0.742 0.750 0.249
Ac 0.742 0.750 0.750
Ac 0.743 0.249 0.249
Tb 0.500 0.500 0.500
Tl 0.500 0.000 0.000

15.
Below is a relaxed Ac2Tb2Tl5 crystal, with properties calculated at the PBE level.

## Properties
Electronic total energy = -31.70 eV/f.u.
Volume = 595.3 Å³ per cell
Total magnetization = 0.00 Bohr magnetons per cell

a = 9.676 Å, b = 9.676 Å, c = 8.270 Å
α = 90.00°, β = 90.00°, γ = 50.25°
Fractional positions:
Ac 0.202 0.202 0.000
Ac 0.298 0.298 0.500
Ac 0.702 0.702 0.500
Ac 0.798 0.798 0.000
Tb 0.158 0.842 0.660
Tb 0.342 0.658 0.160
Tb 0.658 0.342 0.840
Tb 0.842 0.158 0.340
Tl 0.000 0.000 0.000
Tl 0.018 0.737 0.361
Tl 0.237 0.518 0.861
Tl 0.263 0.982 0.361
Tl 0.482 0.763 0.861
Tl 0.500 0.500 0.500
Tl 0.518 0.237 0.139
Tl 0.737 0.018 0.639
Tl 0.763 0.482 0.139
Tl 0.982 0.263 0.639

16.
Below is a relaxed Ac5TbTl6 crystal, with properties calculated at the PBE level.

## Properties
Electronic total energy = -43.46 eV/f.u.
Volume = 408.1 Å³ per cell
Total magnetization = 0.00 Bohr magnetons per cell

a = 10.003 Å, b = 10.003 Å, c = 5.787 Å
α = 106.77°, β = 106.77°, γ = 120.21°
Fractional positions:
Ac 0.000 0.000 0.000
Ac 0.163 0.837 0.500
Ac 0.325 0.675 0.000
Ac 0.675 0.325 0.000
Ac 0.837 0.163 0.500
Tb 0.500 0.500 0.500
Tl 0.105 0.423 0.265
Tl 0.274 0.274 0.776
Tl 0.423 0.105 0.265
Tl 0.577 0.895 0.735
Tl 0.726 0.726 0.224
Tl 0.895 0.577 0.735

17.
Below is a relaxed Ac2TbTl2 crystal, with properties calculated at the PBE level.

## Properties
E above lowest polymorph = 0.0000 eV/atom
Electronic total energy = -19.01 eV/f.u.
Volume = 356.4 Å³ per cell
Total magnetization = 0.00 Bohr magnetons per cell

a = 7.066 Å, b = 7.066 Å, c = 12.146 Å
α = 117.30°, β = 117.30°, γ = 42.46°
Fractional positions:
Ac 0.017 0.017 0.178
Ac 0.184 0.184 0.598
Ac 0.816 0.816 0.402
Ac 0.983 0.983 0.822
Tb 0.290 0.290 0.139
Tb 0.710 0.710 0.861
Tl 0.362 0.362 0.925
Tl 0.466 0.466 0.608
Tl 0.534 0.534 0.392
Tl 0.638 0.638 0.075

18.
Below is a relaxed AcTbTlZn crystal, with properties calculated at the PBE level.

## Properties
E above lowest polymorph = 0.0000 eV/atom
Electronic total energy = -13.63 eV/f.u.
Volume = 114.8 Å³ per cell
Total magnetization = 0.00 Bohr magnetons per cell

a = 3.827 Å, b = 3.827 Å, c = 7.841 Å
α = 90.00°, β = 90.00°, γ = 90.00°
Fractional positions:
Ac 0.000 0.000 0.000
Tb 0.000 0.000 0.457
Tl 0.500 0.500 0.697
Zn 0.500 0.500 0.264

19.
Below is a relaxed AcTbTlZn crystal, with properties calculated at the PBE level.

## Properties
E above lowest polymorph = 0.0491 eV/atom
Electronic total energy = -13.44 eV/f.u.
Volume = 117.9 Å³ per cell
Total magnetization = 0.00 Bohr magnetons per cell

a = 5.503 Å, b = 5.503 Å, c = 5.503 Å
α = 60.00°, β = 60.00°, γ = 60.00°
Fractional positions:
Ac 0.000 0.000 0.000
Tb 0.500 0.500 0.500
Tl 0.250 0.250 0.250
Zn 0.750 0.750 0.750

20.
Below is a relaxed AcTb3Tm8 crystal, with properties calculated at the PBE level.

## Properties
Electronic total energy = -49.84 eV/f.u.
Volume = 410.6 Å³ per cell
Total magnetization = 0.00 Bohr magnetons per cell

a = 8.672 Å, b = 8.672 Å, c = 8.672 Å
α = 137.50°, β = 98.43°, γ = 96.66°
Fractional positions:
Ac 0.000 0.000 0.000
Tb 0.262 0.500 0.762
Tb 0.500 0.000 0.500
Tb 0.738 0.500 0.238
Tm 0.076 0.825 0.252
Tm 0.263 0.017 0.755
Tm 0.263 0.508 0.245
Tm 0.427 0.175 0.252
Tm 0.573 0.825 0.748
Tm 0.737 0.492 0.755
Tm 0.737 0.983 0.245
Tm 0.924 0.175 0.748